1.
TbPuSb | PBE-GGA | relaxed

a b c (Å): 4.0460 4.0460 9.9647
angles (deg): 90.00 90.00 90.00
Last column: nearest neighbours and their distance in Å.
Fractional positions:
Tb  0.0000  0.0000  0.0000  5 Pu 3.09-3.43, 4 Sb 3.23
Tb  0.5000  0.5000  0.5000  5 Pu 3.09-3.43, 4 Sb 3.23
Pu  0.0000  0.0000  0.6904  5 Tb 3.09-3.43, 5 Sb 3.28-3.39
Pu  0.5000  0.5000  0.1904  5 Tb 3.09-3.43, 5 Sb 3.28-3.39
Sb  0.0000  0.0000  0.3506  5 Tb 3.23-3.49, 5 Pu 3.28-3.39
Sb  0.5000  0.5000  0.8506  5 Tb 3.23-3.49, 5 Pu 3.28-3.39

Summary:
Space-group type: No. 107
DOS(E_F), states/eV per atom: 2.679
Total magnetization, Bohr magnetons per cell: 13.2

2.
TbPuSb2 | PBE-GGA | relaxed

a b c (Å): 5.7051 5.7051 3.3062
angles (deg): 90.00 90.00 90.00
Last column: nearest neighbours and their distance in Å.
Fractional positions:
Tb  0.0000  0.0000  0.0000  8 Sb 3.30, 2 Tb 3.31
Pu  0.5000  0.5000  0.0000  8 Sb 3.30, 2 Pu 3.31
Sb  0.0000  0.5000  0.5000  4 Pu 3.30, 4 Tb 3.30, 2 Sb 3.31
Sb  0.5000  0.0000  0.5000  4 Pu 3.30, 4 Tb 3.30, 2 Sb 3.31

Summary:
Space-group type: No. 123
DOS(E_F), states/eV per atom: 2.599
Total magnetization, Bohr magnetons per cell: 5.8

3.
TbPuSb | PBE-GGA | relaxed

a b c (Å): 5.1445 5.1445 3.7078
angles (deg): 90.00 90.00 120.00
Last column: nearest neighbours and their distance in Å.
Fractional positions:
Tb  0.0000  0.0000  0.0000  3 Sb 3.10, 3 Pu 3.38
Pu  0.6667  0.3333  0.4346  3 Sb 3.20, 3 Tb 3.38
Sb  0.3333  0.6667  0.7564  3 Tb 3.10, 3 Pu 3.20

Summary:
Space-group type: No. 156
DOS(E_F), states/eV per atom: 2.613
Total magnetization, Bohr magnetons per cell: 6.4

4.
TbPu2Sb3 | PBE-GGA | relaxed

a b c (Å): 4.4144 6.2401 13.2513
angles (deg): 90.00 90.00 90.00
Last column: nearest neighbours and their distance in Å.
Fractional positions:
Tb  0.0000  0.0000  0.0000  6 Sb 3.12-3.13
Tb  0.5000  0.5000  0.5000  6 Sb 3.12-3.13
Pu  0.0000  0.0000  0.3338  6 Sb 3.12
Pu  0.0000  0.0000  0.6662  6 Sb 3.12
Pu  0.5000  0.5000  0.1662  6 Sb 3.12
Pu  0.5000  0.5000  0.8338  6 Sb 3.12
Sb  0.0000  0.5000  0.0000  4 Pu 3.12, 2 Tb 3.12
Sb  0.0000  0.5000  0.3325  4 Pu 3.12, 2 Tb 3.13
Sb  0.0000  0.5000  0.6675  4 Pu 3.12, 2 Tb 3.13
Sb  0.5000  0.0000  0.1675  4 Pu 3.12, 2 Tb 3.13
Sb  0.5000  0.0000  0.5000  4 Pu 3.12, 2 Tb 3.12
Sb  0.5000  0.0000  0.8325  4 Pu 3.12, 2 Tb 3.13

Summary:
Space-group type: No. 71
DOS(E_F), states/eV per atom: 4.364
Total magnetization, Bohr magnetons per cell: 20.2

5.
TbPuSb2 | PBE-GGA | relaxed

a b c (Å): 6.2363 6.2363 12.4833
angles (deg): 90.00 90.00 90.00
Last column: nearest neighbours and their distance in Å.
Fractional positions:
Tb  0.0000  0.2500  0.3750  6 Sb 3.12-3.13
Tb  0.0000  0.7500  0.6250  6 Sb 3.12-3.13
Tb  0.5000  0.2500  0.1250  6 Sb 3.12-3.13
Tb  0.5000  0.7500  0.8750  6 Sb 3.12-3.13
Pu  0.0000  0.2500  0.8750  6 Sb 3.11-3.12
Pu  0.0000  0.7500  0.1250  6 Sb 3.11-3.12
Pu  0.5000  0.2500  0.6250  6 Sb 3.11-3.12
Pu  0.5000  0.7500  0.3750  6 Sb 3.11-3.12
Sb  0.0000  0.2500  0.1240  3 Pu 3.11-3.12, 3 Tb 3.12-3.13
Sb  0.0000  0.2500  0.6260  3 Pu 3.11-3.12, 3 Tb 3.12-3.13
Sb  0.0000  0.7500  0.3740  3 Pu 3.11-3.12, 3 Tb 3.12-3.13
Sb  0.0000  0.7500  0.8760  3 Pu 3.11-3.12, 3 Tb 3.12-3.13
Sb  0.5000  0.2500  0.3760  3 Pu 3.11-3.12, 3 Tb 3.12-3.13
Sb  0.5000  0.2500  0.8740  3 Pu 3.11-3.12, 3 Tb 3.12-3.13
Sb  0.5000  0.7500  0.1260  3 Pu 3.11-3.12, 3 Tb 3.12-3.13
Sb  0.5000  0.7500  0.6240  3 Pu 3.11-3.12, 3 Tb 3.12-3.13

Summary:
Space-group type: No. 141
DOS(E_F), states/eV per atom: 3.419
Total magnetization, Bohr magnetons per cell: 20.2

6.
Tb2PuSb | PBE-GGA | relaxed

a b c (Å): 3.5649 3.5649 31.8857
angles (deg): 90.00 90.00 120.00
Last column: nearest neighbours and their distance in Å.
Fractional positions:
Tb  0.0000  0.0000  0.2452  3 Sb 3.24, 3 Pu 3.48, 6 Tb 3.56
Tb  0.0000  0.0000  0.7548  3 Sb 3.24, 3 Pu 3.48, 6 Tb 3.56
Tb  0.3333  0.6667  0.4215  3 Sb 3.24, 3 Pu 3.48, 6 Tb 3.56
Tb  0.3333  0.6667  0.9119  3 Sb 3.24, 3 Pu 3.48, 6 Tb 3.56
Tb  0.6667  0.3333  0.0881  3 Sb 3.24, 3 Pu 3.48, 6 Tb 3.56
Tb  0.6667  0.3333  0.5785  3 Sb 3.24, 3 Pu 3.48, 6 Tb 3.56
Pu  0.0000  0.0000  0.0000  6 Tb 3.48, 6 Pu 3.56
Pu  0.3333  0.6667  0.6667  6 Tb 3.48, 6 Pu 3.56
Pu  0.6667  0.3333  0.3333  6 Tb 3.48, 6 Pu 3.56
Sb  0.0000  0.0000  0.5000  6 Tb 3.24, 6 Sb 3.56
Sb  0.3333  0.6667  0.1667  6 Tb 3.24, 6 Sb 3.56
Sb  0.6667  0.3333  0.8333  6 Tb 3.24, 6 Sb 3.56

Summary:
Space-group type: No. 166
DOS(E_F), states/eV per atom: 2.527
Total magnetization, Bohr magnetons per cell: 18.5

For reference, uncorrected formation energy by record: -0.471 -0.717 -0.290 -0.776 -0.867 -0.178 eV per atom.
For reference, mass density by record: 10.7 10.0 10.3 9.2 8.8 9.7 g/cm³.